Record 1
A relaxed Cs4BrN12 crystal. Source: Alexandria, functional GGA-PBE.

Results
- Uncorrected formation energy: -261 meV per atom
- Calculated total energy: -109.434 eV/f.u.
- Theoretical density: 2.7 Mg/m³
- Space group: Im-3, No. 204

a b c (Å): 8.496 8.496 8.496
angles (deg): 109.47 109.47 109.47
Atoms (fractional coordinates):
Cs1 0.000 0.000 0.500
Cs2 0.000 0.500 0.000
Cs3 0.500 0.000 0.000
Cs4 0.500 0.500 0.500
Br1 0.000 0.000 0.000
N1 0.144 0.442 0.585
N2 0.144 0.558 0.702
N3 0.298 0.856 0.442
N4 0.415 0.856 0.558
N5 0.442 0.298 0.856
N6 0.442 0.585 0.144
N7 0.558 0.415 0.856
N8 0.558 0.702 0.144
N9 0.585 0.144 0.442
N10 0.702 0.144 0.558
N11 0.856 0.442 0.298
N12 0.856 0.558 0.415


Record 2
A relaxed Ta2CuRu crystal. Source: Alexandria, functional GGA-PBE.

Results
- Calculated total energy: -36.699 eV/f.u.
- Theoretical density: 13.8 Mg/m³
- Space group: Cmm2, No. 35
- Energy of formation: 95 meV/atom

a b c (Å): 2.797 2.797 8.424
angles (deg): 90.00 90.00 105.53
Atoms (fractional coordinates):
Ta1 0.000 0.000 0.000
Ta2 0.500 0.500 0.280
Cu1 0.500 0.500 0.754
Ru1 0.000 0.000 0.522


Record 3
A relaxed Ca2LaTe crystal. Source: Alexandria, functional GGA-PBE.

Results
- Uncorrected formation energy: -617 meV per atom
- Calculated total energy: -14.540 eV/f.u.
- Theoretical density: 4.1 Mg/m³
- Space group: P4/mmm, No. 123

a b c (Å): 3.911 3.911 9.210
angles (deg): 90.00 90.00 90.00
Atoms (fractional coordinates):
Ca1 0.000 0.000 0.197
Ca2 0.000 0.000 0.803
La1 0.500 0.500 0.500
Te1 0.500 0.500 0.000


Record 4
A relaxed OsSe crystal. Source: Alexandria, functional GGA-PBE.

Results
- Uncorrected formation energy: 483 meV per atom
- Calculated total energy: -13.749 eV/f.u.
- Theoretical density: 12.1 Mg/m³
- Space group: Pmmn, No. 59

a b c (Å): 3.013 3.848 6.369
angles (deg): 90.00 90.00 90.00
Atoms (fractional coordinates):
Os1 0.250 0.250 0.103
Os2 0.750 0.750 0.897
Se1 0.250 0.250 0.724
Se2 0.750 0.750 0.276


Record 5
A relaxed Pr3PuCl2O6 crystal. Source: Alexandria, functional GGA-PBE.

Results
- Uncorrected formation energy: -2692 meV per atom
- Calculated total energy: -94.421 eV/f.u.
- Theoretical density: 5.8 Mg/m³
- Space group: C2/m, No. 12

a b c (Å): 7.178 7.178 5.570
angles (deg): 98.98 98.98 58.42
Atoms (fractional coordinates):
Pr1 0.000 0.000 0.000
Pr2 0.000 0.500 0.500
Pr3 0.500 0.000 0.500
Pu1 0.500 0.500 0.500
Cl1 0.204 0.204 0.861
Cl2 0.796 0.796 0.139
O1 0.192 0.679 0.702
O2 0.321 0.808 0.298
O3 0.337 0.337 0.337
O4 0.663 0.663 0.663
O5 0.679 0.192 0.702
O6 0.808 0.321 0.298


Record 6
A relaxed Mg2VGa3S8 crystal. Source: Alexandria, functional GGA-PBE.

Results
- Uncorrected formation energy: -830 meV per atom
- Calculated total energy: -66.035 eV/f.u.
- Theoretical density: 3.4 Mg/m³
- Space group: R-3m, No. 166

a b c (Å): 7.330 7.330 7.330
angles (deg): 59.95 59.95 59.95
Atoms (fractional coordinates):
Mg1 0.125 0.125 0.125
Mg2 0.875 0.875 0.875
V1 0.500 0.500 0.500
Ga1 0.000 0.500 0.500
Ga2 0.500 0.000 0.500
Ga3 0.500 0.500 0.000
S1 0.261 0.261 0.261
S2 0.264 0.264 0.716
S3 0.264 0.716 0.264
S4 0.284 0.736 0.736
S5 0.716 0.264 0.264
S6 0.736 0.284 0.736
S7 0.736 0.736 0.284
S8 0.739 0.739 0.739


Record 7
A relaxed Rb2AlPI6 crystal. Source: Alexandria, functional GGA-PBE.

Results
- Uncorrected formation energy: -646 meV per atom
- Calculated total energy: -26.853 eV/f.u.
- Theoretical density: 4.2 Mg/m³
- Space group: I4/mmm, No. 139

a b c (Å): 8.207 8.207 8.207
angles (deg): 120.06 120.06 89.90
Atoms (fractional coordinates):
Rb1 0.250 0.750 0.500
Rb2 0.750 0.250 0.500
Al1 0.000 0.000 0.000
P1 0.500 0.500 0.000
I1 0.248 0.248 0.000
I2 0.254 0.254 0.507
I3 0.254 0.746 0.000
I4 0.746 0.254 0.000
I5 0.746 0.746 0.493
I6 0.752 0.752 0.000


Record 8
A relaxed Tl2TcF8 crystal. Source: Alexandria, functional GGA-PBE.

Results
- Uncorrected formation energy: -1925 meV per atom
- Calculated total energy: -51.248 eV/f.u.
- Theoretical density: 5.7 Mg/m³
- Space group: C2/m, No. 12

a b c (Å): 6.637 6.637 4.780
angles (deg): 104.71 104.71 74.56
Atoms (fractional coordinates):
Tl1 0.149 0.149 0.349
Tl2 0.851 0.851 0.651
Tc1 0.500 0.500 0.000
F1 0.102 0.102 0.816
F2 0.216 0.550 0.759
F3 0.391 0.391 0.248
F4 0.450 0.784 0.241
F5 0.550 0.216 0.759
F6 0.609 0.609 0.752
F7 0.784 0.450 0.241
F8 0.898 0.898 0.184


Record 9
A relaxed MnHgS2 crystal. Source: Alexandria, functional GGA-PBE.

Results
- Uncorrected formation energy: -180 meV per atom
- Energy above the most stable polymorph in this dataset: 231.4 meV/atom
- Calculated total energy: -18.445 eV/f.u.
- Theoretical density: 6.7 Mg/m³
- Space group: Cmcm, No. 63

a b c (Å): 12.785 12.785 3.802
angles (deg): 90.00 90.00 165.25
Atoms (fractional coordinates):
Mn1 0.189 0.811 0.750
Mn2 0.811 0.189 0.250
Hg1 0.457 0.543 0.750
Hg2 0.543 0.457 0.250
S1 0.285 0.715 0.750
S2 0.380 0.620 0.250
S3 0.620 0.380 0.750
S4 0.715 0.285 0.250


Record 10
A relaxed LiInSnBi crystal. Source: Alexandria, functional GGA-PBE.

Results
- Energy above the most stable polymorph in this dataset: 77.4 meV/atom
- Calculated total energy: -12.805 eV/f.u.
- Theoretical density: 7.0 Mg/m³
- Space group: F-43m, No. 216
- Energy of formation: -67 meV/atom

a b c (Å): 5.334 5.334 5.334
angles (deg): 60.00 60.00 60.00
Atoms (fractional coordinates):
Li1 0.000 0.000 0.000
In1 0.750 0.750 0.750
Sn1 0.500 0.500 0.500
Bi1 0.250 0.250 0.250


Record 11
A relaxed Cs3SeO crystal. Source: Alexandria, functional GGA-PBE.

Results
- Uncorrected formation energy: -859 meV per atom
- Energy above the most stable polymorph in this dataset: 32.8 meV/atom
- Calculated total energy: -15.298 eV/f.u.
- Theoretical density: 4.3 Mg/m³
- Space group: Cmcm, No. 63

a b c (Å): 7.066 7.066 8.198
angles (deg): 90.00 90.00 109.90
Atoms (fractional coordinates):
Cs1 0.239 0.239 0.000
Cs2 0.239 0.239 0.500
Cs3 0.250 0.750 0.750
Cs4 0.750 0.250 0.250
Cs5 0.761 0.761 0.000
Cs6 0.761 0.761 0.500
Se1 0.227 0.773 0.250
Se2 0.773 0.227 0.750
O1 0.024 0.976 0.750
O2 0.976 0.024 0.250


Record 12
A relaxed SrIr2Se crystal. Source: Alexandria, functional GGA-PBE.

Results
- Uncorrected formation energy: 260 meV per atom
- Calculated total energy: -21.849 eV/f.u.
- Theoretical density: 12.0 Mg/m³
- Space group: P4/mmm, No. 123

a b c (Å): 4.109 4.109 4.517
angles (deg): 90.00 90.00 90.00
Atoms (fractional coordinates):
Sr1 0.000 0.000 0.000
Ir1 0.000 0.500 0.500
Ir2 0.500 0.000 0.500
Se1 0.500 0.500 0.000


Record 13
A relaxed CrGe2Se2 crystal. Source: Alexandria, functional GGA-PBE.

Results
- Uncorrected formation energy: 467 meV per atom
- Energy above the most stable polymorph in this dataset: 191.9 meV/atom
- Calculated total energy: -23.492 eV/f.u.
- Theoretical density: 5.9 Mg/m³
- Space group: I4/mmm, No. 139

a b c (Å): 8.877 8.877 8.877
angles (deg): 157.77 157.77 31.64
Atoms (fractional coordinates):
Cr1 0.000 0.000 0.000
Ge1 0.250 0.750 0.500
Ge2 0.750 0.250 0.500
Se1 0.419 0.419 0.000
Se2 0.581 0.581 0.000


Record 14
A relaxed La2ScNb crystal. Source: Alexandria, functional GGA-PBE.

Results
- Energy above the most stable polymorph in this dataset: 334.6 meV/atom
- Calculated total energy: -23.662 eV/f.u.
- Theoretical density: 6.0 Mg/m³
- Space group: I-42d, No. 122
- Energy of formation: 648 meV/atom

a b c (Å): 6.838 6.838 6.838
angles (deg): 102.20 102.20 125.27
Atoms (fractional coordinates):
La1 0.077 0.125 0.452
La2 0.375 0.923 0.048
La3 0.673 0.625 0.548
La4 0.875 0.327 0.952
Sc1 0.250 0.750 0.500
Sc2 0.500 0.500 0.000
Nb1 0.000 0.000 0.000
Nb2 0.750 0.250 0.500


Record 15
A relaxed PuPHRu2 crystal. Source: Alexandria, functional GGA-PBE.

Results
- Calculated total energy: -43.866 eV/f.u.
- Theoretical density: 11.3 Mg/m³
- Space group: Cmcm, No. 63

a b c (Å): 5.663 5.663 6.933
angles (deg): 90.00 90.00 140.75
Atoms (fractional coordinates):
Pu1 0.060 0.940 0.750
Pu2 0.940 0.060 0.250
P1 0.217 0.783 0.250
P2 0.783 0.217 0.750
H1 0.500 0.500 0.000
H2 0.500 0.500 0.500
Ru1 0.337 0.663 0.549
Ru2 0.337 0.663 0.951
Ru3 0.663 0.337 0.049
Ru4 0.663 0.337 0.451


Record 16
A relaxed Tb5CeY5 crystal. Source: Alexandria, functional GGA-PBE.

Results
- Calculated total energy: -57.770 eV/f.u.
- Theoretical density: 6.1 Mg/m³
- Space group: P-6m2, No. 187
- Energy of formation: 331 meV/atom

a b c (Å): 6.119 6.119 11.504
angles (deg): 90.00 90.00 120.00
Atoms (fractional coordinates):
Tb1 0.000 0.000 0.236
Tb2 0.000 0.000 0.764
Tb3 0.337 0.168 0.000
Tb4 0.832 0.168 0.000
Tb5 0.832 0.663 0.000
Ce1 0.333 0.667 0.500
Y1 0.000 0.000 0.500
Y2 0.333 0.667 0.175
Y3 0.333 0.667 0.825
Y4 0.667 0.333 0.339
Y5 0.667 0.333 0.661


Record 17
A relaxed MoC2I crystal. Source: Alexandria, functional GGA-PBE.

Results
- Uncorrected formation energy: 2528 meV per atom
- Energy above the most stable polymorph in this dataset: 1097.7 meV/atom
- Calculated total energy: -20.719 eV/f.u.
- Theoretical density: 8.3 Mg/m³
- Space group: Fm-3m, No. 225

a b c (Å): 4.120 4.120 4.120
angles (deg): 60.00 60.00 60.00
Atoms (fractional coordinates):
Mo1 0.000 0.000 0.000
C1 0.250 0.250 0.250
C2 0.750 0.750 0.750
I1 0.500 0.500 0.500


Record 18
A relaxed CaDyTl crystal. Source: Alexandria, functional GGA-PBE.

Results
- Energy above the most stable polymorph in this dataset: 181.8 meV/atom
- Calculated total energy: -9.386 eV/f.u.
- Theoretical density: 6.6 Mg/m³
- Space group: F-43m, No. 216
- Energy of formation: -139 meV/atom

a b c (Å): 5.259 5.259 5.259
angles (deg): 60.00 60.00 60.00
Atoms (fractional coordinates):
Ca1 0.000 0.000 0.000
Dy1 0.500 0.500 0.500
Tl1 0.750 0.750 0.750


Record 19
A relaxed Ac4PbC crystal. Source: Alexandria, functional GGA-PBE.

Results
- Calculated total energy: -29.787 eV/f.u.
- Theoretical density: 7.9 Mg/m³
- Space group: P2_1/m, No. 11
- Energy of formation: -70 meV/atom

a b c (Å): 6.727 10.790 6.734
angles (deg): 90.00 103.18 90.00
Atoms (fractional coordinates):
Ac1 0.131 0.250 0.232
Ac2 0.256 0.051 0.755
Ac3 0.256 0.449 0.755
Ac4 0.267 0.750 0.371
Ac5 0.733 0.250 0.629
Ac6 0.744 0.551 0.245
Ac7 0.744 0.949 0.245
Ac8 0.869 0.750 0.768
Pb1 0.409 0.750 0.910
Pb2 0.591 0.250 0.090
C1 0.097 0.250 0.596
C2 0.903 0.750 0.404


Record 20
A relaxed NbTlTeRuIBr crystal. Source: Alexandria, functional GGA-PBE.

Results
- Uncorrected formation energy: -223 meV per atom
- Energy above the most stable polymorph in this dataset: 67.0 meV/atom
- Calculated total energy: -29.415 eV/f.u.
- Theoretical density: 6.6 Mg/m³
- Space group: Pm, No. 6

a b c (Å): 3.858 4.335 11.014
angles (deg): 90.00 92.09 90.00
Atoms (fractional coordinates):
Nb1 0.000 0.000 0.000
Tl1 0.933 0.500 0.585
Te1 0.855 0.500 0.151
Ru1 0.409 0.000 0.152
I1 0.415 0.000 0.422
Br1 0.416 0.000 0.811